Entry 1:
First-principles (PBE-GGA) data for a relaxed Ba2TaAl crystal, as listed in the Alexandria database.

Values from the calculation:
Calculated volume   364.06 Å³ per cell
Calculated formation energy   915 meV per atom
Spin magnetization   0.000 Bohr magnetons per cell

Structure (CIF):
```
data_Ba2TaAl
_chemical_formula_sum 'Ba6 Ta3 Al3'
_symmetry_space_group_name_H-M 'R -3 m'
_symmetry_Int_Tables_number 166
_symmetry_space_group_name_Hall '-R 3 2"'
_cell_length_a 3.4738
_cell_length_b 3.4738
_cell_length_c 34.8360
_cell_angle_alpha 90.00
_cell_angle_beta 90.00
_cell_angle_gamma 120.00
loop_
_atom_site_label
_atom_site_type_symbol
_atom_site_fract_x
_atom_site_fract_y
_atom_site_fract_z
Ba1 Ba 0.0000 0.0000 0.2479
Ta1 Ta 0.0000 0.0000 0.5000
Al1 Al 0.0000 0.0000 0.0000
```



Entry 2:
First-principles (PBE-GGA) data for a relaxed BaTaAl2 crystal, as listed in the Alexandria database.

Values from the calculation:
Energy above the lowest structure with this stoichiometry   435.9 meV per atom
Calculated volume   89.88 Å³ per cell
Calculated formation energy   515 meV per atom
Spin magnetization   0.000 Bohr magnetons per cell

Structure (CIF):
```
data_BaTaAl2
_chemical_formula_sum 'Ba1 Ta1 Al2'
_symmetry_space_group_name_H-M 'P 4/m m m'
_symmetry_Int_Tables_number 123
_symmetry_space_group_name_Hall '-P 4 2'
_cell_length_a 5.5186
_cell_length_b 5.5186
_cell_length_c 2.9513
_cell_angle_alpha 90.00
_cell_angle_beta 90.00
_cell_angle_gamma 90.00
loop_
_atom_site_label
_atom_site_type_symbol
_atom_site_fract_x
_atom_site_fract_y
_atom_site_fract_z
Ba1 Ba 0.0000 0.0000 0.0000
Ta1 Ta 0.5000 0.5000 0.0000
Al1 Al 0.0000 0.5000 0.5000
```



Entry 3:
First-principles (PBE-GGA) data for a relaxed Ba2TaAl crystal, as listed in the Alexandria database.

Values from the calculation:
Calculated volume   245.56 Å³ per cell
Calculated formation energy   864 meV per atom
Spin magnetization   7.168 Bohr magnetons per cell

Structure (CIF):
```
data_Ba2TaAl
_chemical_formula_sum 'Ba4 Ta2 Al2'
_symmetry_space_group_name_H-M 'I -4 m 2'
_symmetry_Int_Tables_number 119
_symmetry_space_group_name_Hall 'I -4 -2'
_cell_length_a 5.5704
_cell_length_b 5.5704
_cell_length_c 7.9136
_cell_angle_alpha 90.00
_cell_angle_beta 90.00
_cell_angle_gamma 90.00
loop_
_atom_site_label
_atom_site_type_symbol
_atom_site_fract_x
_atom_site_fract_y
_atom_site_fract_z
Ba1 Ba 0.0000 0.0000 0.0000
Ba2 Ba 0.0000 0.5000 0.2500
Ta1 Ta 0.0000 0.5000 0.7500
Al1 Al 0.0000 0.0000 0.5000
```